{
  "formula": "MgSi2As",
  "functional": "PBE",
  "state": "optimized geometry",
  "lattice": [[-3.0525, 3.0525, 5.3809], [3.0525, -3.0525, 5.3809], [3.0525, 3.0525, -5.3809]],
  "species": ["Mg", "Mg", "Si", "Si", "Si", "Si", "As", "As"],
  "fractional_positions": [[0.0000, 0.0000, 0.0000], [0.7500, 0.2500, 0.5000], [0.1558, 0.6250, 0.0308], [0.3750, 0.4058, 0.5308], [0.5942, 0.1250, 0.9692], [0.8750, 0.8442, 0.4692], [0.2500, 0.7500, 0.5000], [0.5000, 0.5000, 0.0000]],
  "e_above_lowest_polymorph_ev_per_atom": 0.2361,
  "magnetic_moment_mub_per_fu": 0.00,
  "dft_energy_ev_per_atom": -3.96,
  "dos_ef_per_ev_cell": 3.18,
  "formation_energy_uncorrected_ev_per_atom": 0.3139
}